# 1
DFT (PBE) results for a relaxed YTe2H crystal.

CIF file:
```
data_YTe2H
_chemical_formula_sum 'Y4 Te8 H4'
_space_group_name_H-M_alt 'C 1 2/c 1'
_space_group_IT_number 15
_cell_length_a 7.974
_cell_length_b 9.231
_cell_length_c 7.560
_cell_angle_alpha 90.00
_cell_angle_beta 121.39
_cell_angle_gamma 90.00
loop_
_space_group_symop_operation_xyz
'x,y,z'
'-x,-y,-z'
'-x,y,-z+1/2'
'x,-y,z+1/2'
'x+1/2,y+1/2,z'
'-x+1/2,-y+1/2,-z'
'-x+1/2,y+1/2,-z+1/2'
'x+1/2,-y+1/2,z+1/2'
loop_
_atom_site_label
_atom_site_fract_x
_atom_site_fract_y
_atom_site_fract_z
_atom_site_occupancy
Y1 0.000 0.132 0.250 1
Te1 0.238 0.125 0.731 1
H1 0.000 0.405 0.250 1
```

***

# 2
DFT (PBE) results for a relaxed YTe2H crystal.

CIF file:
```
data_YTe2H
_chemical_formula_sum 'Y1 Te2 H1'
_space_group_name_H-M_alt 'P 4/m m m'
_space_group_IT_number 123
_space_group_name_Hall '-P 4 2'
_cell_length_a 4.403
_cell_length_b 4.403
_cell_length_c 4.808
_cell_angle_alpha 90.00
_cell_angle_beta 90.00
_cell_angle_gamma 90.00
loop_
_atom_site_label
_atom_site_fract_x
_atom_site_fract_y
_atom_site_fract_z
_atom_site_occupancy
Y1 0.000 0.000 0.000 1
Te1 0.000 0.500 0.500 1
H1 0.500 0.500 0.000 1
```

***

# 3
DFT (PBE) results for a relaxed YTe2H crystal.

CIF file:
```
data_YTe2H
_chemical_formula_sum 'Y2 Te4 H2'
_space_group_name_H-M_alt 'C 1 2/m 1'
_space_group_IT_number 12
_cell_length_a 7.983
_cell_length_b 3.921
_cell_length_c 6.609
_cell_angle_alpha 90.00
_cell_angle_beta 98.62
_cell_angle_gamma 90.00
loop_
_space_group_symop_operation_xyz
'x,y,z'
'-x,-y,-z'
'-x,y,-z'
'x,-y,z'
'x+1/2,y+1/2,z'
'-x+1/2,-y+1/2,-z'
'-x+1/2,y+1/2,-z'
'x+1/2,-y+1/2,z'
loop_
_atom_site_label
_atom_site_fract_x
_atom_site_fract_y
_atom_site_fract_z
_atom_site_occupancy
Y1 0.000 0.000 0.000 1
Te1 0.151 0.500 0.721 1
H1 0.000 0.000 0.500 1
```

***

# 4
DFT (PBE) results for a relaxed YTe2H crystal.

CIF file:
```
data_YTe2H
_chemical_formula_sum 'Y2 Te4 H2'
_space_group_name_H-M_alt 'P 1'
_space_group_IT_number 1
_cell_length_a 4.372
_cell_length_b 7.991
_cell_length_c 8.645
_cell_angle_alpha 68.11
_cell_angle_beta 83.48
_cell_angle_gamma 81.09
loop_
_space_group_symop_operation_xyz
'x,y,z'
loop_
_atom_site_label
_atom_site_fract_x
_atom_site_fract_y
_atom_site_fract_z
_atom_site_occupancy
Y1 0.000 0.000 0.000 1
Y2 0.364 0.390 0.086 1
Te1 0.469 0.251 0.804 1
Te2 0.537 0.702 0.195 1
Te3 0.824 0.688 0.892 1
Te4 0.896 0.138 0.283 1
H1 0.033 0.707 0.513 1
H2 0.103 0.612 0.562 1
```

***

# 5
DFT (PBE) results for a relaxed YTe2H crystal.

CIF file:
```
data_YTe2H
_chemical_formula_sum 'Y4 Te8 H4'
_space_group_name_H-M_alt 'C 1 2/m 1'
_space_group_IT_number 12
_cell_length_a 11.160
_cell_length_b 3.999
_cell_length_c 8.851
_cell_angle_alpha 90.00
_cell_angle_beta 100.16
_cell_angle_gamma 90.00
loop_
_space_group_symop_operation_xyz
'x,y,z'
'-x,-y,-z'
'-x,y,-z'
'x,-y,z'
'x+1/2,y+1/2,z'
'-x+1/2,-y+1/2,-z'
'-x+1/2,y+1/2,-z'
'x+1/2,-y+1/2,z'
loop_
_atom_site_label
_atom_site_fract_x
_atom_site_fract_y
_atom_site_fract_z
_atom_site_occupancy
Y1 0.137 0.000 0.394 1
Te1 0.085 0.500 0.673 1
Te2 0.125 0.000 0.033 1
H1 0.222 0.500 0.404 1
```

***

# 6
DFT (PBE) results for a relaxed YTe2H crystal.

CIF file:
```
data_YTe2H
_chemical_formula_sum 'Y2 Te4 H2'
_space_group_name_H-M_alt 'P 1'
_space_group_IT_number 1
_cell_length_a 4.555
_cell_length_b 6.179
_cell_length_c 8.197
_cell_angle_alpha 70.65
_cell_angle_beta 80.66
_cell_angle_gamma 84.07
loop_
_space_group_symop_operation_xyz
'x,y,z'
loop_
_atom_site_label
_atom_site_fract_x
_atom_site_fract_y
_atom_site_fract_z
_atom_site_occupancy
Y1 0.000 0.000 0.000 1
Y2 0.428 0.341 0.380 1
Te1 0.005 0.468 0.093 1
Te2 0.448 0.886 0.276 1
Te3 0.517 0.308 0.775 1
Te4 0.903 0.016 0.612 1
H1 0.073 0.590 0.472 1
H2 0.997 0.474 0.519 1
```

***

Number 1: magnetic moment 0.0 μB/f.u., distance to the lowest polymorph of the same formula 152 meV per atom. Number 2: magnetic moment 0.0 μB/f.u., distance to the lowest polymorph of the same formula 582 meV per atom. Number 3: magnetic moment 0.0 μB/f.u., distance to the lowest polymorph of the same formula 512 meV per atom. Number 4: magnetic moment 0.0 μB/f.u., distance to the lowest polymorph of the same formula 22 meV per atom. Number 5: magnetic moment 0.0 μB/f.u., distance to the lowest polymorph of the same formula 111 meV per atom. Number 6: magnetic moment 0.0 μB/f.u., distance to the lowest polymorph of the same formula 0 meV per atom.